The following is a PBE-GGA calculation of crystalline Ti4NbTl at its relaxed geometry, from Alexandria via LeMat-Bulk.

The structure in POSCAR format:
```
Ti4NbTl
1.0
2.283 1.318 7.153
-2.283 1.318 7.153
0.000 -2.636 7.153
Ti Nb Tl
4 1 1
direct
0.116 0.116 0.116
0.366 0.366 0.366
0.634 0.634 0.634
0.884 0.884 0.884
0.000 0.000 0.000
0.500 0.500 0.500
```

Calculated values
The space group is No. 166. For the energy above the most stable polymorph in this dataset, the calculation gives 530.8 meV/atom. Its energy of formation from the pure elements is 0.592 eV/atom.